LiHoTl after structural relaxation, computed with PBE.

magnetization = 0.00 μB per cell
energy = -9.6 eV/cell
N(E_F) = 1.83 states/eV/cell

Cell: 4.897 4.897 3.441 Å, 90.00 90.00 120.00°
Positions (direct):
Li1 0.000 0.000 0.000
Ho1 0.667 0.333 0.500
Tl1 0.333 0.667 0.000